1.
VASP calculation (PBE-GGA) on an optimized crystal structure of Y5Au3. Values from VASP.

Cell and atoms, written as Quantum ESPRESSO input:
```
&SYSTEM
  ibrav = 0, nat = 16, ntyp = 2
/
ATOMIC_SPECIES
Y 88.91 Y.upf
Au 196.97 Au.upf
CELL_PARAMETERS angstrom
0.637 -4.748 7.318
-8.212 0.016 3.012
2.732 -2.175 -8.019
ATOMIC_POSITIONS angstrom
Y -4.656 -5.771 5.668
Y -7.322 -2.696 5.122
Y 0.000 0.000 0.000
Y -2.390 -4.355 2.578
Y -3.788 -2.366 5.165
Au -1.894 -1.183 2.582
Au -5.681 -3.549 7.747
Y 2.478 -4.211 -2.812
Au -5.333 -4.089 3.242
Y -2.453 -2.552 -0.268
Au 0.490 -2.818 -0.932
Y -0.187 -1.136 -3.358
Au -1.818 -4.601 5.585
Y -5.056 -1.281 2.032
Y 0.213 -5.627 0.278
Au -3.025 -2.306 -3.275
```

Its space-group type is I4/mcm (140). For the energy relative to the elements, the calculation gives -0.64 eV per atom. Its electronic total energy is -94.46 eV for the cell shown.


2.
VASP calculation (PBE-GGA) on an optimized crystal structure of Y2Au3. Values from VASP.

Cell and atoms, written as Quantum ESPRESSO input:
```
&SYSTEM
  ibrav = 0, nat = 10, ntyp = 2
/
ATOMIC_SPECIES
Au 196.97 Au.upf
Y 88.91 Y.upf
CELL_PARAMETERS angstrom
7.773 0.000 0.000
0.000 7.773 0.000
0.000 0.000 3.768
ATOMIC_POSITIONS angstrom
Au 6.769 4.890 0.000
Y 5.227 6.433 1.884
Y 1.340 5.227 1.884
Y 2.546 1.340 1.884
Au 4.890 1.003 0.000
Au 3.886 3.886 0.000
Au 1.003 2.883 0.000
Au 2.883 6.769 0.000
Au 0.000 0.000 0.000
Y 6.433 2.546 1.884
```

Its space-group type is P4/mbm (127). For the energy relative to the elements, the calculation gives -0.80 eV per atom. Its electronic total energy is -53.50 eV for the cell shown. The relative energy among the computed polymorphs comes out at 0 meV per atom.


3.
VASP calculation (PBE-GGA) on an optimized crystal structure of Y2Au3. Values from VASP.

Cell and atoms, written as Quantum ESPRESSO input:
```
&SYSTEM
  ibrav = 0, nat = 10, ntyp = 2
/
ATOMIC_SPECIES
Au 196.97 Au.upf
Y 88.91 Y.upf
CELL_PARAMETERS angstrom
7.969 0.000 0.000
0.000 7.969 0.000
0.000 0.000 3.805
ATOMIC_POSITIONS angstrom
Au 5.021 6.932 1.902
Au 3.984 3.984 0.000
Y 1.321 2.663 0.000
Au 6.932 2.948 1.902
Y 2.663 6.648 0.000
Au 0.000 0.000 0.000
Y 6.648 5.306 0.000
Au 1.037 5.021 1.902
Y 5.306 1.321 0.000
Au 2.948 1.037 1.902
```

Its space-group type is P4/mbm (127). For the energy relative to the elements, the calculation gives -0.65 eV per atom. Its electronic total energy is -51.96 eV for the cell shown. The relative energy among the computed polymorphs comes out at 155 meV per atom.